VASP calculation (GGA-PBE) on crystalline SrBeNi at its relaxed geometry.

Results
Spin magnetization, μB per atom: 0.00
ΔE to the lowest computed polymorph, eV/atom: 0.0000
Symmetry: F-43m (216)

Unit cell a=4.5681 b=4.5681 c=4.5681 alpha=60.00 beta=60.00 gamma=60.00
Sites, in units of the cell vectors:
Sr  0.0000  0.0000  0.0000
Be  0.5000  0.5000  0.5000
Ni  0.7500  0.7500  0.7500

---

VASP calculation (GGA-PBE) on crystalline Bi10PdS10 at its relaxed geometry.

Results
ΔE to the lowest computed polymorph, eV/atom: 0.0261
Symmetry: Pbam (55)

Unit cell a=10.7462 b=12.6649 c=8.6504 alpha=90.00 beta=90.00 gamma=90.00
Sites, in units of the cell vectors:
Bi  0.0000  0.0000  0.2367
Bi  0.0000  0.0000  0.7633
Bi  0.1387  0.3144  0.0000
Bi  0.1414  0.5903  0.2317
Bi  0.1414  0.5903  0.7683
Bi  0.2493  0.3164  0.5000
Bi  0.2507  0.8164  0.5000
Bi  0.3586  0.0903  0.2317
Bi  0.3586  0.0903  0.7683
Bi  0.3613  0.8144  0.0000
Bi  0.5000  0.5000  0.2367
Bi  0.5000  0.5000  0.7633
Bi  0.6387  0.1856  0.0000
Bi  0.6414  0.9097  0.2317
Bi  0.6414  0.9097  0.7683
Bi  0.7493  0.1836  0.5000
Bi  0.7507  0.6836  0.5000
Bi  0.8586  0.4097  0.2317
Bi  0.8586  0.4097  0.7683
Bi  0.8613  0.6856  0.0000
Pd  0.0000  0.5000  0.0000
Pd  0.5000  0.0000  0.0000
S  0.0008  0.6516  0.5000
S  0.1503  0.0786  0.0000
S  0.1606  0.8077  0.1943
S  0.1606  0.8077  0.8057
S  0.1683  0.0126  0.5000
S  0.3317  0.5126  0.5000
S  0.3394  0.3077  0.1943
S  0.3394  0.3077  0.8057
S  0.3497  0.5786  0.0000
S  0.4992  0.1516  0.5000
S  0.5008  0.8484  0.5000
S  0.6503  0.4214  0.0000
S  0.6606  0.6923  0.1943
S  0.6606  0.6923  0.8057
S  0.6683  0.4874  0.5000
S  0.8317  0.9874  0.5000
S  0.8394  0.1923  0.1943
S  0.8394  0.1923  0.8057
S  0.8497  0.9214  0.0000
S  0.9992  0.3484  0.5000